VASP calculation (GGA+U) on crystalline BiMoO3 at its relaxed geometry.

Its total magnetization is 4.40 μB/f.u. The density of states at the Fermi level comes out at 4.1 states/eV/cell. Its symmetry is Pm-3m (221). The calculation puts the total energy at -5.413 eV/atom.

Lattice parameters (Å, degrees): 4.2509 4.2509 4.2509 90.00 90.00 90.00
Closest atoms and distances in Å follow each position.
Element x y z (fractional)
1 Bi 0.0000 0.0000 0.0000  6 O 2.13
2 Mo 0.5000 0.5000 0.5000  12 O 3.01
3 O 0.0000 0.0000 0.5000  2 Bi 2.13
4 O 0.0000 0.5000 0.0000  2 Bi 2.13
5 O 0.5000 0.0000 0.0000  2 Bi 2.13